A relaxed TbEr2WO8 crystal. Source: Alexandria via LeMat-Bulk, functional GGA+U.

Total moment, μB per cell: 0.6
Crystal system: orthorhombic
Uncorrected energy, eV per atom: -7.922

Unit cell a=5.0214 b=5.0226 c=6.8088 alpha=90.00 beta=90.00 gamma=90.69
Fractional coordinates of all 12 atoms:
O: 0.1844 0.8148 0.2120
O: 0.1844 0.8148 0.7880
O: 0.8156 0.1852 0.2120
O: 0.3112 0.3102 0.5000
O: 0.8156 0.1852 0.7880
O: 0.6888 0.6898 0.5000
O: 0.2782 0.2772 0.0000
O: 0.7218 0.7228 0.0000
Tb: 0.0000 0.0000 0.5000
Er: 0.5000 0.5000 0.2479
Er: 0.5000 0.5000 0.7521
W: 0.0000 0.0000 0.0000